First-principles (PBE-GGA) data for ScCu2Si after structural relaxation, as listed in the Alexandria database.

Cell and atoms, written as extended XYZ:
```
4
Lattice="8.4889 -0.0118 -0.0069 7.9914 2.8634 -0.0069 7.9914 1.3828 2.5074" Properties=species:S:1:pos:R:3 pbc="T T T"
Cu 6.2819 1.0870 0.6401
Cu 0.0372 0.0064 0.0038
Si 18.1395 3.1387 1.8483
Sc 12.2488 2.1194 1.2481
```

Symmetry: R3m

First-principles (PBE-GGA) data for AsOsRhBr2 after structural relaxation, as listed in the Alexandria database.

Cell and atoms, written as extended XYZ:
```
5
Lattice="5.1877 0.0000 0.0000 0.0000 5.1877 0.0000 0.0000 0.0000 4.6349" Properties=species:S:1:pos:R:3 pbc="T T T"
Br 2.5938 0.0000 0.0000
Br 0.0000 2.5938 0.0000
Os 0.0000 0.0000 0.0000
As 0.0000 0.0000 2.3174
Rh 2.5938 2.5938 2.3174
```

Symmetry: P4/mmm

Number 1: formation energy from raw total energies 0.09 eV per atom, raw total energy -4.897 eV/atom. Number 2: formation energy from raw total energies 1.12 eV per atom, raw total energy -4.195 eV/atom.